(1)
Material: GdPuBiPb
Method: DFT, PBE-GGA
State: optimized geometry

The structure belongs to space group F-43m (No. 216); the cell edges are 7.7708, 7.7708 and 7.7708 Å and the angles 90.00°, 90.00° and 90.00°. The distinct sites, in fractional coordinates, are Gd at (0.0000, 0.0000, 0.0000), Pu at (0.0000, 0.0000, 0.5000), Bi at (0.2500, 0.2500, 0.7500) and Pb at (0.2500, 0.2500, 0.2500).

The total moment is 13.31 μB per formula unit. The total energy comes out at -9.35 eV per atom. Its density of states at the Fermi level is 3.20 states/eV per atom. The formation energy from the elements comes out at -1.4 eV/f.u.

=====

(2)
Material: Hf2TaMoPt
Method: DFT, PBE-GGA
State: optimized geometry

The structure belongs to space group P4/mmm (No. 123); the cell edges are 4.9443, 4.9443 and 4.6796 Å and the angles 90.00°, 90.00° and 90.00°. The distinct sites, in fractional coordinates, are Hf at (0.0000, 0.5000, 0.0000), Ta at (0.0000, 0.0000, 0.5000), Mo at (0.0000, 0.0000, 0.0000) and Pt at (0.5000, 0.5000, 0.5000).

The total moment is 0.00 μB per formula unit. The total energy comes out at -8.75 eV per atom. Its density of states at the Fermi level is 1.18 states/eV per atom. The formation energy from the elements comes out at 4.9 eV/f.u.

=====

(3)
Material: KYAu2
Method: DFT, PBE-GGA
State: optimized geometry

The structure belongs to space group Fm-3m (No. 225); the cell edges are 7.3645, 7.3645 and 7.3645 Å and the angles 90.00°, 90.00° and 90.00°. The distinct sites, in fractional coordinates, are K at (0.0000, 0.0000, 0.0000), Y at (0.0000, 0.0000, 0.5000) and Au at (0.2500, 0.2500, 0.2500).

Its relative energy among the computed polymorphs is 234.7 meV per atom. The total moment is 0.00 μB per formula unit. The total energy comes out at -3.87 eV per atom. Its density of states at the Fermi level is 0.75 states/eV per atom. The formation energy from the elements comes out at -1.4 eV/f.u.

=====

(4)
Material: KBeIO2
Method: DFT, PBE-GGA
State: optimized geometry

The structure belongs to space group P4/mmm (No. 123); the cell edges are 4.1900, 4.1900 and 5.1640 Å and the angles 90.00°, 90.00° and 90.00°. The distinct sites, in fractional coordinates, are K at (0.0000, 0.0000, 0.0000), Be at (0.5000, 0.5000, 0.5000), I at (0.5000, 0.5000, 0.0000) and O at (0.0000, 0.5000, 0.5000).

Its relative energy among the computed polymorphs is 0.0 meV per atom. The total moment is 2.00 μB per formula unit. The total energy comes out at -3.57 eV per atom. Its density of states at the Fermi level is 0.60 states/eV per atom. The value obtained for the formation energy without anion corrections is -29.8 kJ per mole of atoms.